## YHfV2 (GGA-PBE)

Data for an optimized crystal structure of YHfV2.

Unit cell a=5.9988 b=5.9988 c=5.9988 alpha=103.94 beta=103.94 gamma=121.20
Last column: nearest neighbours and their distance in Å.
Fractional positions:
Y  0.0000  0.0000  0.0000  4 V 2.77, 2 Hf 2.94
Y  0.7500  0.2500  0.5000  4 V 2.77, 2 Hf 2.94
Hf  0.2500  0.7500  0.5000  4 V 2.66, 2 Y 2.94
Hf  0.5000  0.5000  0.0000  4 V 2.66, 2 Y 2.94
V  0.1367  0.6250  0.0117  2 Hf 2.66, 2 Y 2.77, 2 V 2.95
V  0.3750  0.3867  0.5117  2 Hf 2.66, 2 Y 2.77, 2 V 2.95
V  0.6133  0.1250  0.9883  2 Hf 2.66, 2 Y 2.77, 2 V 2.95
V  0.8750  0.8633  0.4883  2 Hf 2.66, 2 Y 2.77, 2 V 2.95

Summary:
Symmetry: I-42d, No. 122
Energy of formation, eV per formula unit: 3.57
Energy above the lowest structure with this stoichiometry, eV per formula unit: 2.074
Calculated density, g cm⁻³: 7.6
DOS at the Fermi energy, states/eV/atom: 1.154